! PBE-GGA SrSbPd2, relaxed; values from VASP
&SYSTEM
  ibrav = 0, nat = 16, ntyp = 3
/
ATOMIC_SPECIES
Sr 87.62 Sr.upf
Sb 121.76 Sb.upf
Pd 106.42 Pd.upf
CELL_PARAMETERS angstrom
-2.7727 5.4108 -2.2405
-6.5042 -2.6855 1.5637
0.4120 3.1876 7.1882
ATOMIC_POSITIONS crystal
Sr 0.1576 0.2500 0.5189
Sr 0.6576 0.7500 0.9811
Sr 0.3424 0.2500 0.0189
Sr 0.8424 0.7500 0.4811
Sb 0.8392 0.2500 0.8677
Sb 0.6608 0.2500 0.3677
Sb 0.1608 0.7500 0.1323
Sb 0.3392 0.7500 0.6323
Pd 0.9236 0.0527 0.1694
Pd 0.5764 0.4473 0.6694
Pd 0.5764 0.0527 0.6694
Pd 0.4236 0.5527 0.3306
Pd 0.4236 0.9473 0.3306
Pd 0.9236 0.4473 0.1694
Pd 0.0764 0.5527 0.8306
Pd 0.0764 0.9473 0.8306
! total DFT energy (no corrections) = -4.83 eV/atom
! N(E_F) = 5.429 states/eV per cell
! space group = No. 62

! PBE-GGA SrNdHg, relaxed; values from VASP
&SYSTEM
  ibrav = 0, nat = 3, ntyp = 3
/
ATOMIC_SPECIES
Sr 87.62 Sr.upf
Nd 144.24 Nd.upf
Hg 200.59 Hg.upf
CELL_PARAMETERS angstrom
4.2635 0.0000 0.0000
0.0000 5.3698 0.0000
0.0000 -2.6849 4.6504
ATOMIC_POSITIONS crystal
Sr 0.6445 0.6667 0.3333
Nd 0.1260 0.0000 0.0000
Hg 0.2295 0.3333 0.6667
! total DFT energy (no corrections) = -2.41 eV/atom
! excess energy over the best structure of this formula in the dataset = 181 meV/atom
! formation energy from the elements = -0.16 eV per atom
! N(E_F) = 2.340 states/eV per cell
! space group = No. 156